The following is a GGA-PBEsol calculation of a relaxed structure of Li2V3P4O14, from Alexandria.

abc: 7.3200 7.8390 9.4272
angles: 90.00 110.13 90.00
With the nearest neighbours (Å) after each atom.
Fractional coordinates of all 46 atoms:
Li 0.2051 0.0823 0.1376  3 O 1.94-2.02
Li 0.2051 0.4177 0.6376  3 O 1.94-2.02
Li 0.7949 0.5823 0.3624  3 O 1.94-2.02
Li 0.7949 0.9177 0.8624  3 O 1.94-2.02
V 0.3093 0.1306 0.4770  6 O 2.08-2.21
V 0.3093 0.3694 0.9770  6 O 2.08-2.21
V 0.5000 0.0000 0.0000  6 O 2.09-2.15
V 0.5000 0.5000 0.5000  6 O 2.09-2.15
V 0.6907 0.6306 0.0230  6 O 2.08-2.21
V 0.6907 0.8694 0.5230  6 O 2.08-2.21
P 0.0956 0.0521 0.7191  4 O 1.52-1.62
P 0.0956 0.4479 0.2191  4 O 1.52-1.62
P 0.3793 0.7044 0.1923  4 O 1.51-1.59
P 0.3793 0.7956 0.6923  4 O 1.51-1.59
P 0.6207 0.2044 0.3077  4 O 1.51-1.59
P 0.6207 0.2956 0.8077  4 O 1.51-1.59
P 0.9044 0.5521 0.7809  4 O 1.52-1.62
P 0.9044 0.9479 0.2809  4 O 1.52-1.62
O 0.1126 0.5096 0.7946  1 P 1.52
O 0.1126 0.9904 0.2946  1 P 1.52
O 0.1189 0.1717 0.5990  1 P 1.52
O 0.1189 0.3283 0.0990  1 P 1.52
O 0.1771 0.6335 0.1947  2 P 1.59-1.62
O 0.1771 0.8665 0.6947  2 P 1.59-1.62
O 0.2215 0.1133 0.8801  1 P 1.56
O 0.2215 0.3867 0.3801  1 P 1.56
O 0.3420 0.6225 0.6174  1 P 1.51
O 0.3420 0.8775 0.1174  1 P 1.51
O 0.4588 0.5770 0.1042  1 P 1.54
O 0.4588 0.9230 0.6042  1 P 1.54
O 0.4873 0.2056 0.1403  1 P 1.54
O 0.4873 0.2944 0.6403  1 P 1.54
O 0.5127 0.7056 0.3597  1 P 1.54
O 0.5127 0.7944 0.8597  1 P 1.54
O 0.5412 0.0770 0.3958  1 P 1.54
O 0.5412 0.4230 0.8958  1 P 1.54
O 0.6580 0.1225 0.8826  1 P 1.51
O 0.6580 0.3775 0.3826  1 P 1.51
O 0.7785 0.6133 0.6199  1 P 1.56
O 0.7785 0.8867 0.1199  1 P 1.56
O 0.8229 0.1335 0.3053  2 P 1.59-1.62
O 0.8229 0.3665 0.8053  2 P 1.59-1.62
O 0.8811 0.6717 0.9010  1 P 1.52
O 0.8811 0.8283 0.4010  1 P 1.52
O 0.8874 0.0096 0.7054  1 P 1.52
O 0.8874 0.4904 0.2054  1 P 1.52

Results
SG ... No. 14
ΔE_f (raw) ... -2127 meV per atom
Total moment ... 9.00 μB/f.u.
Energy above the most stable polymorph in this dataset ... 0 meV/atom


The following is a GGA-PBEsol calculation of a relaxed structure of AlReGe, from Alexandria.

abc: 3.2318 3.2318 8.1316
angles: 90.00 90.00 90.00
With the nearest neighbours (Å) after each atom.
Fractional coordinates of all 6 atoms:
Al 0.0000 0.0000 0.0000  5 Ge 2.66-2.68, 5 Re 2.66-2.70
Al 0.5000 0.5000 0.5000  5 Ge 2.66-2.68, 5 Re 2.66-2.70
Re 0.0000 0.0000 0.6682  5 Ge 2.62-2.78, 5 Al 2.66-2.70
Re 0.5000 0.5000 0.1682  5 Ge 2.62-2.78, 5 Al 2.66-2.70
Ge 0.0000 0.0000 0.3269  5 Re 2.62-2.78, 5 Al 2.66-2.68
Ge 0.5000 0.5000 0.8269  5 Re 2.62-2.78, 5 Al 2.66-2.68

Results
Fermi-level density of states ... 0.022 states/eV/atom
SG ... No. 107
ΔH_f (0 K) ... -289 meV per atom
Total moment ... 0.00 μB/f.u.


The following is a GGA-PBEsol calculation of a relaxed structure of Tl3TcRh, from Alexandria.

abc: 5.0910 5.0910 5.0910
angles: 90.00 90.00 90.00
With the nearest neighbours (Å) after each atom.
Fractional coordinates of all 5 atoms:
Tl 0.0000 0.0000 0.5000  2 Rh 2.55
Tl 0.0000 0.5000 0.0000  2 Rh 2.55
Tl 0.5000 0.0000 0.0000  2 Rh 2.55
Tc 0.5000 0.5000 0.5000  12 Tl 3.60
Rh 0.0000 0.0000 0.0000  6 Tl 2.55

Results
Fermi-level density of states ... 0.761 states/eV/atom
SG ... No. 221
ΔH_f (0 K) ... 1089 meV per atom
Total moment ... 3.72 μB/f.u.


The following is a GGA-PBEsol calculation of a relaxed structure of Be3AgBi, from Alexandria.

abc: 4.3973 4.3973 4.3973
angles: 90.00 90.00 90.00
With the nearest neighbours (Å) after each atom.
Fractional coordinates of all 5 atoms:
Be 0.0000 0.0000 0.5000  2 Ag 2.20
Be 0.0000 0.5000 0.0000  2 Ag 2.20
Be 0.5000 0.0000 0.0000  2 Ag 2.20
Ag 0.0000 0.0000 0.0000  6 Be 2.20
Bi 0.5000 0.5000 0.5000  12 Be 3.11

Results
Fermi-level density of states ... 0.406 states/eV/atom
SG ... No. 221
ΔH_f (0 K) ... 774 meV per atom
Total moment ... 0.00 μB/f.u.


The following is a GGA-PBEsol calculation of a relaxed structure of LaY2Tl, from Alexandria.

abc: 5.3286 3.5960 12.5646
angles: 90.00 90.00 90.00
With the nearest neighbours (Å) after each atom.
Fractional coordinates of all 8 atoms:
La 0.0000 0.0000 0.0000  3 Y 3.39-3.40, 4 Tl 3.45, 2 La 3.60
La 0.0000 0.5000 0.5000  3 Y 3.39-3.40, 4 Tl 3.45, 2 La 3.60
Y 0.0000 0.0000 0.2701  2 Tl 3.13, 3 La 3.39-3.40, 4 Y 3.46
Y 0.0000 0.5000 0.7701  2 Tl 3.13, 3 La 3.39-3.40, 4 Y 3.46
Y 0.5000 0.0000 0.6691  3 Tl 3.37-3.42, 6 Y 3.46-3.60
Y 0.5000 0.5000 0.1691  3 Tl 3.37-3.42, 6 Y 3.46-3.60
Tl 0.5000 0.0000 0.4011  5 Y 3.13-3.42, 4 La 3.45
Tl 0.5000 0.5000 0.9011  5 Y 3.13-3.42, 4 La 3.45

Results
Fermi-level density of states ... 1.257 states/eV/atom
SG ... No. 38
ΔH_f (0 K) ... -171 meV per atom
Total moment ... 0.00 μB/f.u.
Energy above the most stable polymorph in this dataset ... 65 meV/atom


The following is a GGA-PBEsol calculation of a relaxed structure of Nb2RuCI, from Alexandria.

abc: 4.9697 4.9697 4.6317
angles: 90.00 90.00 90.00
With the nearest neighbours (Å) after each atom.
Fractional coordinates of all 5 atoms:
Nb 0.0000 0.5000 0.0000  2 I 2.48
Nb 0.5000 0.0000 0.0000  2 I 2.48
Ru 0.0000 0.0000 0.5000  2 I 2.32
C 0.5000 0.5000 0.5000  8 Nb 3.40, 4 Ru 3.51
I 0.0000 0.0000 0.0000  2 Ru 2.32, 4 Nb 2.48

Results
Fermi-level density of states ... 0.856 states/eV/atom
SG ... No. 123
ΔE_f (raw) ... 3013 meV per atom
Total moment ... 0.00 μB/f.u.


The following is a GGA-PBEsol calculation of a relaxed structure of Ta2AgIr, from Alexandria.

abc: 3.9777 3.9777 8.1147
angles: 90.00 90.00 90.00
With the nearest neighbours (Å) after each atom.
Fractional coordinates of all 8 atoms:
Ta 0.0000 0.5000 0.2500  4 Ta 2.81, 4 Ir 2.84, 4 Ag 2.84
Ta 0.0000 0.5000 0.7500  4 Ta 2.81, 4 Ir 2.84, 4 Ag 2.84
Ta 0.5000 0.0000 0.2500  4 Ta 2.81, 4 Ir 2.84, 4 Ag 2.84
Ta 0.5000 0.0000 0.7500  4 Ta 2.81, 4 Ir 2.84, 4 Ag 2.84
Ag 0.0000 0.0000 0.0000  4 Ir 2.81, 8 Ta 2.84
Ag 0.5000 0.5000 0.5000  4 Ir 2.81, 8 Ta 2.84
Ir 0.0000 0.0000 0.5000  4 Ag 2.81, 8 Ta 2.84
Ir 0.5000 0.5000 0.0000  4 Ag 2.81, 8 Ta 2.84

Results
Fermi-level density of states ... 0.611 states/eV/atom
SG ... No. 139
ΔH_f (0 K) ... -72 meV per atom
Total moment ... 0.00 μB/f.u.


The following is a GGA-PBEsol calculation of a relaxed structure of Lu2Al9Rh3, from Alexandria.

abc: 7.4392 7.4392 9.3111
angles: 90.00 90.00 60.62
With the nearest neighbours (Å) after each atom.
Fractional coordinates of all 28 atoms:
Lu 0.0054 0.6731 0.7500  11 Al 2.99-3.11
Lu 0.3269 0.9946 0.7500  11 Al 2.99-3.11
Lu 0.6731 0.0054 0.2500  11 Al 2.99-3.11
Lu 0.9946 0.3269 0.2500  11 Al 2.99-3.11
Al 0.0004 0.3359 0.5763  3 Rh 2.51-2.60, 3 Al 2.72-2.76
Al 0.0004 0.3359 0.9237  3 Rh 2.51-2.60, 3 Al 2.72-2.76
Al 0.9996 0.6641 0.0763  3 Rh 2.51-2.60, 3 Al 2.72-2.76
Al 0.9996 0.6641 0.4237  3 Rh 2.51-2.60, 3 Al 2.72-2.76
Al 0.1271 0.8729 0.2500  2 Rh 2.52, 6 Al 2.72-2.76
Al 0.3320 0.6680 0.5524  3 Rh 2.54-2.60, 5 Al 2.71-2.83
Al 0.3320 0.6680 0.9476  3 Rh 2.54-2.60, 5 Al 2.71-2.83
Al 0.3359 0.0004 0.0763  3 Rh 2.51-2.60, 3 Al 2.72-2.76
Al 0.3359 0.0004 0.4237  3 Rh 2.51-2.60, 3 Al 2.72-2.76
Al 0.3403 0.4471 0.2500  2 Rh 2.51, 4 Al 2.73-2.76
Al 0.4471 0.3403 0.7500  2 Rh 2.51, 4 Al 2.73-2.76
Al 0.5529 0.6597 0.2500  2 Rh 2.51, 4 Al 2.73-2.76
Al 0.6597 0.5529 0.7500  2 Rh 2.51, 4 Al 2.73-2.76
Al 0.6641 0.9996 0.5763  3 Rh 2.51-2.60, 3 Al 2.72-2.76
Al 0.6641 0.9996 0.9237  3 Rh 2.51-2.60, 3 Al 2.72-2.76
Al 0.6680 0.3320 0.0524  3 Rh 2.54-2.60, 5 Al 2.71-2.83
Al 0.6680 0.3320 0.4476  3 Rh 2.54-2.60, 5 Al 2.71-2.83
Al 0.8729 0.1271 0.7500  2 Rh 2.52, 6 Al 2.72-2.76
Rh 0.0000 0.0000 0.0000  8 Al 2.52-2.60
Rh 0.0000 0.0000 0.5000  8 Al 2.52-2.60
Rh 0.3276 0.3276 0.0000  8 Al 2.51-2.60
Rh 0.3276 0.3276 0.5000  8 Al 2.51-2.60
Rh 0.6724 0.6724 0.0000  8 Al 2.51-2.60
Rh 0.6724 0.6724 0.5000  8 Al 2.51-2.60

Results
Fermi-level density of states ... 0.351 states/eV/atom
SG ... No. 63
ΔH_f (0 K) ... -812 meV per atom
Total moment ... 0.00 μB/f.u.


The following is a GGA-PBEsol calculation of a relaxed structure of InSnC3, from Alexandria.

abc: 4.2906 4.2906 4.2906
angles: 90.00 90.00 90.00
With the nearest neighbours (Å) after each atom.
Fractional coordinates of all 5 atoms:
In 0.0000 0.0000 0.0000  12 C 3.03
Sn 0.5000 0.5000 0.5000  6 C 2.15
C 0.0000 0.5000 0.5000  2 Sn 2.15
C 0.5000 0.0000 0.5000  2 Sn 2.15
C 0.5000 0.5000 0.0000  2 Sn 2.15

Results
Fermi-level density of states ... 0.966 states/eV/atom
SG ... No. 221
ΔH_f (0 K) ... 2771 meV per atom
Total moment ... 0.01 μB/f.u.


The following is a GGA-PBEsol calculation of a relaxed structure of CuTe8, from Alexandria.

abc: 9.2628 9.2628 9.2628
angles: 92.94 92.94 153.81
With the nearest neighbours (Å) after each atom.
Fractional coordinates of all 9 atoms:
Cu 0.0000 0.0000 0.0000  4 Te 2.56
Te 0.0000 0.2003 0.2003  1 Cu 2.56
Te 0.0000 0.7997 0.7997  1 Cu 2.56
Te 0.2003 0.0000 0.2003  1 Cu 2.56
Te 0.3192 0.3192 0.6385  6 Te 3.13-3.26
Te 0.3192 0.6808 0.0000  6 Te 3.13-3.26
Te 0.6808 0.3192 0.0000  6 Te 3.13-3.26
Te 0.6808 0.6808 0.3615  6 Te 3.13-3.26
Te 0.7997 0.0000 0.7997  1 Cu 2.56

Results
Fermi-level density of states ... 0.651 states/eV/atom
SG ... No. 139
ΔE_f (raw) ... 173 meV per atom
Total moment ... 0.00 μB/f.u.


The following is a GGA-PBEsol calculation of a relaxed structure of MgSn3O, from Alexandria.

abc: 5.2304 5.2304 5.2304
angles: 90.00 90.00 90.00
With the nearest neighbours (Å) after each atom.
Fractional coordinates of all 5 atoms:
Mg 0.0000 0.0000 0.0000  6 Sn 2.62
Sn 0.0000 0.0000 0.5000  2 Mg 2.62
Sn 0.0000 0.5000 0.0000  2 Mg 2.62
Sn 0.5000 0.0000 0.0000  2 Mg 2.62
O 0.5000 0.5000 0.5000  12 Sn 3.70

Results
Fermi-level density of states ... 0.828 states/eV/atom
SG ... No. 221
ΔE_f (raw) ... 897 meV per atom
Total moment ... 0.79 μB/f.u.


The following is a GGA-PBEsol calculation of a relaxed structure of Al3GaAu, from Alexandria.

abc: 4.7363 4.7363 4.7363
angles: 90.00 90.00 90.00
With the nearest neighbours (Å) after each atom.
Fractional coordinates of all 5 atoms:
Al 0.0000 0.0000 0.5000  2 Ga 2.37
Al 0.0000 0.5000 0.0000  2 Ga 2.37
Al 0.5000 0.0000 0.0000  2 Ga 2.37
Ga 0.0000 0.0000 0.0000  6 Al 2.37
Au 0.5000 0.5000 0.5000  12 Al 3.35

Results
Fermi-level density of states ... 0.530 states/eV/atom
SG ... No. 221
ΔH_f (0 K) ... 601 meV per atom
Total moment ... 0.00 μB/f.u.


Q: Number 10 is which compound?
A: CuTe8